This record from Alexandria describes crystalline Hf6Nb2Bi at its relaxed geometry. The functional is GGA-PBE.

Geometry as POSCAR:
```
Hf6Nb2Bi
1.0
-4.3504 5.1460 4.6240
-4.3000 -6.1475 -3.2414
5.6443 -4.2067 4.1515
Hf Nb Bi
12 4 2
direct
0.5094 0.7046 0.8048
0.4906 0.2954 0.1952
0.1002 0.2954 0.8048
0.8998 0.7046 0.1952
0.7924 0.7493 0.5417
0.2076 0.2507 0.4583
0.2076 0.7493 0.9570
0.7924 0.2507 0.0430
0.7021 0.3609 0.6588
0.2979 0.6391 0.3412
0.2979 0.9567 0.6588
0.7021 0.0433 0.3412
0.5000 0.3674 0.8674
0.5000 0.6326 0.1326
0.6675 0.0000 0.6675
0.3325 0.0000 0.3325
0.0000 0.5000 0.5000
0.0000 0.0000 0.0000
```

Volume: 412.16 Å³/cell
Energy of formation from the pure elements: 0.18 eV per atom